Density functional theory data (PBE with a Hubbard U) for a geometry-optimized Na2NiAsCO7 structure.

Unit cell a=6.787 b=5.231 c=9.116 alpha=88.72 beta=90.00 gamma=90.00
Atoms (fractional coordinates):
Na 0.508 0.764 0.759
Na 0.992 0.764 0.759
Na 0.492 0.236 0.241
Na 0.008 0.236 0.241
Ni 0.250 0.212 0.649
Ni 0.750 0.788 0.351
As 0.750 0.295 0.577
As 0.250 0.705 0.423
C 0.250 0.281 0.924
C 0.750 0.719 0.076
O 0.750 0.713 0.937
O 0.250 0.064 0.856
O 0.250 0.482 0.839
O 0.951 0.214 0.682
O 0.549 0.214 0.682
O 0.250 0.841 0.592
O 0.750 0.628 0.550
O 0.250 0.372 0.450
O 0.750 0.159 0.408
O 0.451 0.786 0.318
O 0.049 0.786 0.318
O 0.750 0.518 0.161
O 0.750 0.936 0.144
O 0.250 0.287 0.063

Computed properties:
The calculation puts the calculated density at 3.1 g cm⁻³. As for the density of states at the Fermi level: 0.18 states/eV/atom. The value obtained for the raw total energy is -0.216 hartree per atom.